# 1
Density functional theory data (PBE) for a geometry-optimized Zr2Be15Rh2 structure.

Lattice parameters (Å, degrees): 5.852 5.852 5.852 83.04 83.04 83.04
Fractional positions:
Zr (0.348, 0.348, 0.348)
Zr (0.652, 0.652, 0.652)
Be (0.500, 0.000, 0.000)
Be (0.000, 0.000, 0.500)
Be (0.000, 0.500, 0.000)
Be (0.000, 0.717, 0.283)
Be (0.717, 0.283, 0.000)
Be (0.283, 0.000, 0.717)
Be (0.283, 0.717, 0.000)
Be (0.717, 0.000, 0.283)
Be (0.000, 0.283, 0.717)
Be (0.161, 0.657, 0.657)
Be (0.657, 0.657, 0.161)
Be (0.657, 0.161, 0.657)
Be (0.839, 0.343, 0.343)
Be (0.343, 0.343, 0.839)
Be (0.343, 0.839, 0.343)
Rh (0.112, 0.112, 0.112)
Rh (0.888, 0.888, 0.888)

Computed properties:
For the raw total energy, the calculation gives -4.9229 eV/atom. The formation energy comes out at -0.308 eV/atom.

***

# 2
Density functional theory data (PBE) for a geometry-optimized SrBRh2 structure.

Lattice parameters (Å, degrees): 3.419 3.419 7.087 76.04 76.04 60.00
Fractional positions:
Sr (0.500, 0.500, 0.500)
B (0.000, 0.000, 0.000)
Rh (0.286, 0.286, 0.141)
Rh (0.714, 0.714, 0.859)

Computed properties:
For the raw total energy, the calculation gives -5.9007 eV/atom. The formation energy comes out at -0.135 eV/atom.

***

# 3
Density functional theory data (PBE) for a geometry-optimized K2HgB structure.

Lattice parameters (Å, degrees): 12.346 12.346 8.983 46.59 46.59 90.00
Fractional positions:
K (0.423, 0.125, 0.250)
K (0.327, 0.625, 0.250)
K (0.375, 0.577, 0.750)
K (0.875, 0.673, 0.750)
B (0.500, 0.500, 0.000)
B (0.250, 0.750, 0.500)
Hg (0.000, 0.000, 0.000)
Hg (0.750, 0.250, 0.500)

Computed properties:
For the raw total energy, the calculation gives -1.9111 eV/atom. The formation energy comes out at 0.383 eV/atom. For the energy above the most stable polymorph in this dataset, the calculation gives 0 meV/atom.